Entry from Alexandria: a relaxed Ca12Tl3F5 crystal (GGA-PBE).

Computed properties:
Its crystal system is cubic. The calculation puts the energy relative to the elements, uncorrected at -1476 meV/atom.

Geometry as extended XYZ:
```
80
Lattice="-1.922 -11.654 -7.928 12.501 5.949 -3.267 -0.101 -3.564 13.771" Properties=species:S:1:pos:R:3 pbc="T T T"
Tl -0.144 -10.344 -3.902
Tl 3.234 -6.955 -5.450
Tl 3.411 -7.725 4.148
Tl 9.434 -5.762 -0.198
Tl 10.623 1.076 6.478
Tl 2.797 -3.088 10.242
Tl 1.044 -3.506 2.774
Tl 7.682 -6.181 -7.666
Tl 7.068 -1.543 -1.572
Tl 7.245 -2.314 8.026
Tl 1.886 -7.133 -0.607
Tl 8.592 -2.136 3.184
Ca 11.159 3.850 -2.143
Ca 7.682 -1.860 -4.722
Ca 8.890 -4.048 5.763
Ca 7.598 0.929 7.586
Ca 5.569 -8.557 -7.128
Ca 9.771 -5.084 -5.371
Ca 5.605 -9.995 3.485
Ca 11.064 2.934 1.611
Ca 1.907 -10.276 -1.329
Ca 8.349 -7.538 -2.661
Ca 3.964 -4.511 3.703
Ca 0.092 -7.622 -5.737
Ca 4.874 0.726 -0.909
Ca 2.170 -0.680 1.517
Ca 2.881 -10.198 -5.010
Ca 8.572 1.007 3.905
Ca 9.870 -3.069 -2.038
Ca 2.270 -10.622 5.216
Ca 4.635 -7.299 1.195
Ca 9.266 -0.364 0.575
Ca 8.309 -8.589 1.059
Ca 4.459 -7.735 -2.570
Ca -0.680 -13.118 4.719
Ca 2.797 -7.408 7.298
Ca -0.585 -12.202 0.965
Ca 1.213 -8.905 2.001
Ca 9.718 -4.147 -9.121
Ca 10.387 -1.647 8.313
Ca 2.837 -4.130 0.085
Ca 4.910 -0.712 9.704
Ca 11.454 -1.456 4.661
Ca 6.020 -1.533 5.146
Ca -0.574 -5.684 1.030
Ca 6.198 -6.863 5.673
Ca 5.844 -1.970 1.381
Ca 4.281 -2.405 -3.097
Ca 8.209 1.354 -2.640
Ca 0.761 -5.122 11.697
Ca 0.609 -6.200 4.614
Ca -0.975 -7.813 -2.085
Ca 6.014 -5.404 -4.936
Ca 7.642 -5.139 2.491
Ca 2.130 -1.730 5.237
Ca 0.708 -4.184 7.947
Ca 11.053 -3.585 1.546
Ca 1.589 -5.220 -3.187
Ca 4.464 -3.864 7.512
Ca 6.515 -4.757 -1.127
F 9.098 1.668 1.723
F 0.000 0.000 0.000
F -0.050 -1.782 6.885
F 6.334 -6.359 -2.824
F 5.239 -4.634 1.288
F 6.200 1.193 5.252
F 6.056 -9.152 1.349
F -1.011 -7.609 2.922
F 1.381 -10.937 0.853
F 5.290 -2.852 -5.597
F 8.087 -5.940 4.644
F 0.767 -6.299 6.947
F 2.392 -3.328 -2.068
F 4.423 -0.117 1.227
F 10.446 1.846 -3.119
F 6.251 2.974 -1.634
F 0.033 -11.115 5.695
F 4.145 -2.910 5.400
F -0.961 -5.827 -3.964
F 9.712 -2.969 -4.371
```